1.
A plane-wave DFT calculation with PBE-GGA was carried out for crystalline LuZrBe at its relaxed geometry.

The space group is F-43m (No. 216) and the conventional cell measures 6.375, 6.375 and 6.375 Å, with angles of 90.00, 90.00 and 90.00 degrees. The inequivalent atoms are Lu at (0.000, 0.000, 0.000), Zr at (0.000, 0.000, 0.500) and Be at (0.250, 0.250, 0.250).

Its volume is 259 Å³ per cell. The calculation puts the offset from the most stable computed form at 0 meV per atom. The value obtained for the density is 7055 kg/m³.


2.
A plane-wave DFT calculation with PBE-GGA was carried out for crystalline Sc4NiBiC2 at its relaxed geometry.

The space group is P-6m2 (No. 187) and the conventional cell measures 3.4056, 3.4056 and 13.6411 Å, with angles of 90.00, 90.00 and 120.00 degrees. The inequivalent atoms are Sc at (0.0000, 0.0000, 0.1354), Sc at (0.6667, 0.3333, 0.3124), Ni at (0.6667, 0.3333, 0.0000), Bi at (0.0000, 0.0000, 0.5000) and C at (0.3333, 0.6667, 0.2297).

Its volume is 137 Å³ per cell. The final energy is -57.37 eV per formula unit. The value obtained for the density is 5715 kg/m³.


3.
A plane-wave DFT calculation with PBE-GGA was carried out for crystalline Y3Cd3Ag2Hg at its relaxed geometry.

The space group is P-62m (No. 189) and the conventional cell measures 7.9229, 7.9229 and 3.9232 Å, with angles of 90.00, 90.00 and 120.00 degrees. The inequivalent atoms are Y at (0.0000, 0.5952, 0.0000), Cd at (0.0000, 0.2737, 0.5000), Ag at (0.3333, 0.6667, 0.5000) and Hg at (0.0000, 0.0000, 0.0000).

Its volume is 213 Å³ per cell. The value obtained for the density is 7944 kg/m³. The formation energy comes out at -0.36 eV per atom.


4.
A plane-wave DFT calculation with PBE-GGA was carried out for crystalline BaGdNO at its relaxed geometry.

The space group is Pmc2_1 (No. 26) and the conventional cell measures 3.930, 7.228 and 6.293 Å, with angles of 90.00, 90.00 and 90.00 degrees. The inequivalent atoms are Ba at (0.000, 0.166, 0.000), Gd at (0.500, 0.346, 0.511), N at (0.000, 0.202, 0.431) and O at (0.500, 0.372, 0.863).

Its volume is 179 Å³ per cell. The calculation puts the offset from the most stable computed form at 64 meV per atom. The value obtained for the density is 6030 kg/m³.


5.
A plane-wave DFT calculation with PBE-GGA was carried out for crystalline PaGa2As at its relaxed geometry.

The space group is P4/mmm (No. 123) and the conventional cell measures 4.144, 4.144 and 4.576 Å, with angles of 90.00, 90.00 and 90.00 degrees. The inequivalent atoms are Pa at (0.000, 0.000, 0.000), Ga at (0.000, 0.500, 0.500) and As at (0.500, 0.500, 0.000).

Its volume is 79 Å³ per cell. The final energy is -22.42 eV per formula unit. The value obtained for the density is 9412 kg/m³.


6.
A plane-wave DFT calculation with PBE-GGA was carried out for crystalline SrHfAl at its relaxed geometry.

The space group is F-43m (No. 216) and the conventional cell measures 7.185, 7.185 and 7.185 Å, with angles of 90.00, 90.00 and 90.00 degrees. The inequivalent atoms are Sr at (0.000, 0.000, 0.000), Hf at (0.250, 0.250, 0.250) and Al at (0.250, 0.250, 0.750).

Its volume is 371 Å³ per cell. The final energy is -11.48 eV per formula unit. The value obtained for the density is 5249 kg/m³.


7.
A plane-wave DFT calculation with PBE-GGA was carried out for crystalline Li2Nb2Ga2IrOs at its relaxed geometry.

The space group is P-4m2 (No. 115) and the conventional cell measures 4.359, 4.359 and 6.162 Å, with angles of 90.00, 90.00 and 90.00 degrees. The inequivalent atoms are Li at (0.000, 0.000, 0.000), Li at (0.500, 0.500, 0.500), Nb at (0.000, 0.500, 0.249), Ga at (0.000, 0.500, 0.752), Ir at (0.000, 0.000, 0.500) and Os at (0.500, 0.500, 0.000).

Its volume is 117 Å³ per cell. The final energy is -53.58 eV per formula unit. The value obtained for the density is 10234 kg/m³.


8.
A plane-wave DFT calculation with PBE-GGA was carried out for crystalline Ho3Tm3ReTe2 at its relaxed geometry.

The space group is P-62m (No. 189) and the conventional cell measures 8.1839, 8.1839 and 4.1370 Å, with angles of 90.00, 90.00 and 120.00 degrees. The inequivalent atoms are Ho at (0.0000, 0.3868, 0.0000), Tm at (0.0000, 0.7639, 0.5000), Re at (0.0000, 0.0000, 0.0000) and Te at (0.3333, 0.6667, 0.5000).

Its volume is 240 Å³ per cell. The calculation puts the offset from the most stable computed form at 0 meV per atom. The value obtained for the density is 9986 kg/m³.


9.
A plane-wave DFT calculation with PBE-GGA was carried out for crystalline TaTlFeAg at its relaxed geometry.

The space group is F-43m (No. 216) and the conventional cell measures 6.527, 6.527 and 6.527 Å, with angles of 90.00, 90.00 and 90.00 degrees. The inequivalent atoms are Ta at (0.000, 0.000, 0.000), Tl at (0.000, 0.000, 0.500), Fe at (0.250, 0.250, 0.750) and Ag at (0.250, 0.250, 0.250).

Its volume is 278 Å³ per cell. The calculation puts the offset from the most stable computed form at 0 meV per atom. The value obtained for the density is 13114 kg/m³.


10.
A plane-wave DFT calculation with PBE-GGA was carried out for crystalline InGa2Ag2 at its relaxed geometry.

The space group is I4/mmm (No. 139) and the conventional cell measures 4.190, 4.190 and 11.880 Å, with angles of 90.00, 90.00 and 90.00 degrees. The inequivalent atoms are In at (0.000, 0.000, 0.000), Ga at (0.000, 0.000, 0.395) and Ag at (0.000, 0.500, 0.250).

Its volume is 209 Å³ per cell. The calculation puts the offset from the most stable computed form at 28 meV per atom. The value obtained for the density is 7483 kg/m³.


11.
A plane-wave DFT calculation with PBE-GGA was carried out for crystalline Cd7P10 at its relaxed geometry.

The space group is Fdd2 (No. 43) and the conventional cell measures 23.128, 27.672 and 4.648 Å, with angles of 90.00, 90.00 and 90.00 degrees. The inequivalent atoms are Cd at (0.000, 0.000, 0.000), Cd at (0.003, 0.298, 0.025), Cd at (0.117, 0.212, 0.841), Cd at (0.119, 0.083, 0.219), P at (0.034, 0.366, 0.665), P at (0.036, 0.436, 0.869), P at (0.042, 0.064, 0.637), P at (0.044, 0.130, 0.890) and P at (0.083, 0.252, 0.303).

Its volume is 2975 Å³ per cell. The final energy is -61.75 eV per formula unit. The value obtained for the density is 4897 kg/m³.


12.
A plane-wave DFT calculation with PBE-GGA was carried out for crystalline ZrI at its relaxed geometry.

The space group is P6_3/mmc (No. 194) and the conventional cell measures 3.5296, 3.5296 and 9.2628 Å, with angles of 90.00, 90.00 and 120.00 degrees. The inequivalent atoms are Zr at (0.3333, 0.6667, 0.2500) and I at (0.0000, 0.0000, 0.0000).

Its volume is 100 Å³ per cell. The final energy is -10.17 eV per formula unit. The value obtained for the density is 7249 kg/m³.